(1)
Here is an optimized crystal structure of BaLiDyO3 from Alexandria. Energies are from PBE-GGA.

Structure (extended XYZ):
```
12
Lattice="6.037 0.000 0.000 -3.018 5.228 0.000 0.000 0.000 6.174" Properties=species:S:1:pos:R:3 pbc="T T T"
Li 0.000 3.485 1.544
O 1.457 0.841 4.631
O -1.561 4.387 1.544
O 3.018 3.545 4.631
Ba 3.018 1.743 1.544
O 0.000 1.683 1.544
Li 3.018 1.743 4.631
Ba 0.000 3.485 4.631
O 4.579 0.841 4.631
O 1.561 4.387 1.544
Dy 0.000 0.000 3.087
Dy 0.000 0.000 0.000
```

Calculated values
Energy relative to the elements, uncorrected: -2657 meV/atom
N(E_F): 0.00 states/eV/f.u.
Total moment: 0.000 μB/cell

(2)
Here is an optimized crystal structure of BaLiDy2O4 from Alexandria. Energies are from PBE-GGA.

Structure (extended XYZ):
```
16
Lattice="-2.629 0.519 2.279 -2.583 -1.252 -5.410 0.027 -11.181 2.576" Properties=species:S:1:pos:R:3 pbc="T T T"
O -1.950 -4.916 -1.131
Ba -0.710 -8.572 1.131
O 0.014 -5.590 1.288
Dy -2.859 -6.921 -1.723
O 0.000 0.000 0.000
O -3.160 -9.196 -1.553
O -3.227 -10.241 1.323
Dy -2.326 -4.993 1.167
Ba -4.474 -3.343 -1.687
O -2.025 -2.719 0.998
O -3.235 -6.998 0.576
Li -3.824 -8.771 0.299
Dy -2.337 -0.600 0.156
O -1.958 -1.673 -1.878
Li -1.361 -3.144 -0.855
Dy -2.848 -11.314 -0.711
```

Calculated values
Energy relative to the elements, uncorrected: -2823 meV/atom
N(E_F): 2.12 states/eV/f.u.
Total moment: 0.001 μB/cell

(3)
Here is an optimized crystal structure of BaLiDyPb from Alexandria. Energies are from PBE-GGA.

Structure (extended XYZ):
```
4
Lattice="5.687 0.000 0.000 2.843 4.925 0.000 2.843 1.642 4.643" Properties=species:S:1:pos:R:3 pbc="T T T"
Ba 2.843 1.642 1.161
Li 0.000 0.000 0.000
Dy 8.530 4.925 3.483
Pb 5.687 3.283 2.322
```

Calculated values
N(E_F): 2.12 states/eV/f.u.
Total moment: 0.000 μB/cell
E_form: -0.20 eV per atom

(4)
Here is an optimized crystal structure of Ba2Li2DyS4 from Alexandria. Energies are from PBE-GGA.

Structure (extended XYZ):
```
9
Lattice="-3.293 -0.722 2.283 -2.691 -4.364 -5.262 5.811 -3.616 3.608" Properties=species:S:1:pos:R:3 pbc="T T T"
Ba -0.387 -3.497 -1.664
Li 2.647 -2.573 3.005
Dy 0.000 0.000 0.000
S 1.179 -2.410 0.939
Ba 0.213 -5.205 2.293
S -1.353 -6.292 -0.310
S 3.351 -4.887 3.290
S -3.525 -3.815 -2.660
Li -2.821 -6.129 -2.376
```

Calculated values
Energy relative to the elements, uncorrected: -1722 meV/atom
N(E_F): 3.91 states/eV/f.u.
Total moment: 0.000 μB/cell